Computed, not measured: a relaxed structure of CaCrRh2 at the PBEsol level of DFT.

Formation enthalpy at 0 K: 0.15 eV/atom
Total energy: -7.008 eV/atom
Calculated volume: 15.57 Å³/atom
Offset from the most stable computed form: 0.025 eV per atom

Lattice parameters (Å, degrees): 4.4558 4.4558 6.2746 90.00 90.00 90.00
With the nearest neighbours (Å) after each atom.
Space group I4/mmm (No. 139)
Asymmetric unit:
1 Ca 0.0000 0.0000 0.0000 [2 per cell]  8 Rh 2.72
2 Cr 0.0000 0.0000 0.5000 [2 per cell]  8 Rh 2.72
3 Rh 0.0000 0.5000 0.2500 [4 per cell]  4 Cr 2.72, 4 Ca 2.72